First-principles (PBE) data for a relaxed structure of Tl3MoPd12, as listed in Alexandria.

- magnetization (μB per formula unit) = 0.43
- final energy (eV per cell) = -83.02

```
data_Tl3MoPd12
_symmetry_space_group_name_H-M 'P 4/m m m'
_symmetry_Int_Tables_number 123
_symmetry_space_group_name_Hall '-P 4 2'
_cell_length_a 4.0200
_cell_length_b 4.0200
_cell_length_c 16.4146
_cell_angle_alpha 90.00
_cell_angle_beta 90.00
_cell_angle_gamma 90.00
loop_
_atom_site_label
_atom_site_fract_x
_atom_site_fract_y
_atom_site_fract_z
Tl1 0.0000 0.0000 0.0000
Tl2 0.0000 0.0000 0.2514
Mo1 0.0000 0.0000 0.5000
Pd1 0.0000 0.5000 0.1277
Pd2 0.0000 0.5000 0.3864
Pd3 0.5000 0.5000 0.0000
Pd4 0.5000 0.5000 0.2582
Pd5 0.5000 0.5000 0.5000
```

=====

First-principles (PBE) data for a relaxed structure of BC4, as listed in Alexandria.

- polymorph energy (0 for the lowest one) (eV/atom) = 0.090
- magnetization (μB per formula unit) = 0.00

```
data_BC4
_symmetry_space_group_name_H-M 'R -3 m'
_symmetry_Int_Tables_number 166
_symmetry_space_group_name_Hall '-R 3 2"'
_cell_length_a 2.6134
_cell_length_b 2.6134
_cell_length_c 35.9230
_cell_angle_alpha 90.00
_cell_angle_beta 90.00
_cell_angle_gamma 120.00
loop_
_atom_site_label
_atom_site_fract_x
_atom_site_fract_y
_atom_site_fract_z
B1 0.0000 0.0000 0.0513
C1 0.0000 0.0000 0.1738
C2 0.0000 0.0000 0.2169
C3 0.0000 0.0000 0.3901
C4 0.0000 0.0000 0.4356
```

=====

First-principles (PBE) data for a relaxed structure of ScCrFe, as listed in Alexandria.

- polymorph energy (0 for the lowest one) (eV/atom) = 1.262
- magnetization (μB per formula unit) = 5.96

```
data_ScCrFe
_symmetry_space_group_name_H-M 'F -4 3 m'
_symmetry_Int_Tables_number 216
_symmetry_space_group_name_Hall 'F -4 2 3'
_cell_length_a 6.1333
_cell_length_b 6.1333
_cell_length_c 6.1333
_cell_angle_alpha 90.00
_cell_angle_beta 90.00
_cell_angle_gamma 90.00
loop_
_atom_site_label
_atom_site_fract_x
_atom_site_fract_y
_atom_site_fract_z
Sc1 0.0000 0.0000 0.0000
Cr1 0.2500 0.2500 0.2500
Fe1 0.2500 0.2500 0.7500
```

=====

First-principles (PBE) data for a relaxed structure of Ca2TmMoN4, as listed in Alexandria.

- ΔE_f (raw) (kJ/mol of formula units) = -804
- magnetization (μB per formula unit) = 0.00

```
data_Ca2TmMoN4
_symmetry_space_group_name_H-M 'P 1 2/m 1'
_symmetry_Int_Tables_number 10
_cell_length_a 5.7002
_cell_length_b 3.2648
_cell_length_c 5.8666
_cell_angle_alpha 90.00
_cell_angle_beta 108.39
_cell_angle_gamma 90.00
loop_
_symmetry_equiv_pos_as_xyz
'x,y,z'
'-x,-y,-z'
'-x,y,-z'
'x,-y,z'
loop_
_atom_site_label
_atom_site_fract_x
_atom_site_fract_y
_atom_site_fract_z
Ca1 0.0000 0.0000 0.0000
Ca2 0.5000 0.5000 0.0000
Tm1 0.0000 0.5000 0.5000
Mo1 0.5000 0.0000 0.5000
N1 0.2687 0.0000 0.7122
N2 0.2740 0.5000 0.2812
```

=====

First-principles (PBE) data for a relaxed structure of Rb2TlHg16, as listed in Alexandria.

- magnetization (μB per formula unit) = 0.00
- final energy (eV per cell) = -33.74

```
data_Rb2TlHg16
_symmetry_space_group_name_H-M 'R 3 m'
_symmetry_Int_Tables_number 160
_symmetry_space_group_name_Hall 'R 3 -2"'
_cell_length_a 10.4986
_cell_length_b 10.4986
_cell_length_c 18.6113
_cell_angle_alpha 90.00
_cell_angle_beta 90.00
_cell_angle_gamma 120.00
loop_
_atom_site_label
_atom_site_fract_x
_atom_site_fract_y
_atom_site_fract_z
Rb1 0.0000 0.0000 0.0000
Rb2 0.0000 0.0000 0.3681
Tl1 0.0000 0.0000 0.5969
Hg1 0.0000 0.0000 0.7867
Hg2 0.0000 0.2951 0.6888
Hg3 0.0044 0.5022 0.1861
Hg4 0.0327 0.5164 0.8165
Hg5 0.1778 0.3556 0.8911
```

=====

First-principles (PBE) data for a relaxed structure of Ca2ScRe, as listed in Alexandria.

- polymorph energy (0 for the lowest one) (eV/atom) = 0.335
- magnetization (μB per formula unit) = 0.00

```
data_Ca2ScRe
_symmetry_space_group_name_H-M 'I m m m'
_symmetry_Int_Tables_number 71
_symmetry_space_group_name_Hall '-I 2 2'
_cell_length_a 4.3777
_cell_length_b 4.4225
_cell_length_c 9.7294
_cell_angle_alpha 90.00
_cell_angle_beta 90.00
_cell_angle_gamma 90.00
loop_
_atom_site_label
_atom_site_fract_x
_atom_site_fract_y
_atom_site_fract_z
Ca1 0.0000 0.0000 0.2486
Sc1 0.0000 0.5000 0.0000
Re1 0.0000 0.5000 0.5000
```

=====

First-principles (PBE) data for a relaxed structure of AlSn2Bi, as listed in Alexandria.

- polymorph energy (0 for the lowest one) (eV/atom) = 0.000
- magnetization (μB per formula unit) = 0.00

```
data_AlSn2Bi
_symmetry_space_group_name_H-M 'I -4 2 d'
_symmetry_Int_Tables_number 122
_symmetry_space_group_name_Hall 'I -4 2bw'
_cell_length_a 6.5421
_cell_length_b 6.5421
_cell_length_c 13.2705
_cell_angle_alpha 90.00
_cell_angle_beta 90.00
_cell_angle_gamma 90.00
loop_
_atom_site_label
_atom_site_fract_x
_atom_site_fract_y
_atom_site_fract_z
Al1 0.0000 0.0000 0.0000
Sn1 0.2136 0.2500 0.1250
Bi1 0.0000 0.0000 0.5000
```

=====

First-principles (PBE) data for a relaxed structure of DyYAu2O8, as listed in Alexandria.

- ΔE_f (raw) (kJ/mol of formula units) = -1274
- magnetization (μB per formula unit) = 0.00

```
data_DyYAu2O8
_symmetry_space_group_name_H-M 'I -4 m 2'
_symmetry_Int_Tables_number 119
_symmetry_space_group_name_Hall 'I -4 -2'
_cell_length_a 5.3191
_cell_length_b 5.3191
_cell_length_c 10.5477
_cell_angle_alpha 90.00
_cell_angle_beta 90.00
_cell_angle_gamma 90.00
loop_
_atom_site_label
_atom_site_fract_x
_atom_site_fract_y
_atom_site_fract_z
Dy1 0.0000 0.0000 0.0000
Y1 0.0000 0.5000 0.2500
Au1 0.0000 0.0000 0.5000
Au2 0.0000 0.5000 0.7500
O1 0.2329 0.2502 0.6248
```

=====

First-principles (PBE) data for a relaxed structure of InNi2PdBr, as listed in Alexandria.

- ΔE_f (raw) (kJ/mol of formula units) = 357
- magnetization (μB per formula unit) = 0.00

```
data_InNi2PdBr
_symmetry_space_group_name_H-M 'P 4/m m m'
_symmetry_Int_Tables_number 123
_symmetry_space_group_name_Hall '-P 4 2'
_cell_length_a 4.2878
_cell_length_b 4.2878
_cell_length_c 5.8905
_cell_angle_alpha 90.00
_cell_angle_beta 90.00
_cell_angle_gamma 90.00
loop_
_atom_site_label
_atom_site_fract_x
_atom_site_fract_y
_atom_site_fract_z
In1 0.0000 0.0000 0.0000
Ni1 0.0000 0.5000 0.5000
Pd1 0.5000 0.5000 0.0000
Br1 0.0000 0.0000 0.5000
```

=====

First-principles (PBE) data for a relaxed structure of Ta4RuW2, as listed in Alexandria.

- magnetization (μB per formula unit) = 0.00
- final energy (eV per cell) = -163.57

```
data_Ta4RuW2
_symmetry_space_group_name_H-M 'I 4/m m m'
_symmetry_Int_Tables_number 139
_symmetry_space_group_name_Hall '-I 4 2'
_cell_length_a 6.3581
_cell_length_b 6.3581
_cell_length_c 6.3602
_cell_angle_alpha 90.00
_cell_angle_beta 90.00
_cell_angle_gamma 90.00
loop_
_atom_site_label
_atom_site_fract_x
_atom_site_fract_y
_atom_site_fract_z
Ta1 0.2500 0.2500 0.2500
Ru1 0.0000 0.0000 0.0000
W1 0.0000 0.5000 0.0000
```

=====

First-principles (PBE) data for a relaxed structure of AcPb2Au4, as listed in Alexandria.

- magnetization (μB per formula unit) = 0.00
- final energy (eV per cell) = -54.83

```
data_AcPb2Au4
_symmetry_space_group_name_H-M 'P 1 21/m 1'
_symmetry_Int_Tables_number 11
_cell_length_a 6.9355
_cell_length_b 5.6200
_cell_length_c 9.6829
_cell_angle_alpha 90.00
_cell_angle_beta 110.49
_cell_angle_gamma 90.00
loop_
_symmetry_equiv_pos_as_xyz
'x,y,z'
'-x,-y,-z'
'-x,y+1/2,-z'
'x,-y+1/2,z'
loop_
_atom_site_label
_atom_site_fract_x
_atom_site_fract_y
_atom_site_fract_z
Ac1 0.2383 0.2500 0.0006
Pb1 0.1632 0.2500 0.5873
Pb2 0.4301 0.7500 0.5856
Au1 0.1376 0.9998 0.2797
Au2 0.2612 0.7500 0.8382
Au3 0.4250 0.7500 0.1646
```

=====

First-principles (PBE) data for a relaxed structure of TiMoS2, as listed in Alexandria.

- ΔE_f (raw) (kJ/mol of formula units) = -181
- polymorph energy (0 for the lowest one) (eV/atom) = 0.101
- magnetization (μB per formula unit) = 0.56

```
data_TiMoS2
_symmetry_space_group_name_H-M 'I -4 2 d'
_symmetry_Int_Tables_number 122
_symmetry_space_group_name_Hall 'I -4 2bw'
_cell_length_a 4.7893
_cell_length_b 4.7893
_cell_length_c 13.0423
_cell_angle_alpha 90.00
_cell_angle_beta 90.00
_cell_angle_gamma 90.00
loop_
_atom_site_label
_atom_site_fract_x
_atom_site_fract_y
_atom_site_fract_z
Ti1 0.0000 0.0000 0.0000
Mo1 0.0000 0.0000 0.5000
S1 0.2425 0.2500 0.6250
```

=====

> Which of these has the highest magnetization?

ScCrFe